## Hf2CrSiSe (PBE)

Data for crystalline Hf2CrSiSe at its relaxed geometry.

The space group is P4/mmm (No. 123) and the conventional cell measures 4.9158, 4.9158 and 4.4826 Å, with angles of 90.00, 90.00 and 90.00 degrees. The distinct sites, in fractional coordinates, are Hf at (0.0000, 0.5000, 0.0000), Cr at (0.0000, 0.0000, 0.5000), Si at (0.5000, 0.5000, 0.5000) and Se at (0.0000, 0.0000, 0.0000).

The value obtained for the formation energy without anion corrections is 472 meV per atom. For the density of states at the Fermi level, the calculation gives 3.76 states/eV/cell. The value obtained for the electronic total energy is -7.216 eV/atom.